## one
Below is crystalline CsCIO2 at its relaxed geometry, with properties calculated at the PBE level.

Cell lengths 4.225, 4.225, 8.397 Å; angles 90.00, 90.00, 90.00 degrees
Fractional coordinates of all 5 atoms:
Cs 0.000 0.000 0.000
I 0.000 0.000 0.500
C 0.500 0.500 0.500
O 0.000 0.500 0.000
O 0.500 0.000 0.000

Calculated values
The symmetry is No. 123. For the spin magnetization, the calculation gives 1.04 μB per formula unit.

---

## two
Below is crystalline CsCIO2 at its relaxed geometry, with properties calculated at the PBE level.

Cell lengths 4.798, 4.798, 4.433 Å; angles 90.00, 90.00, 90.00 degrees
Fractional coordinates of all 5 atoms:
Cs 0.500 0.500 0.500
I 0.000 0.000 0.500
C 0.000 0.000 0.000
O 0.000 0.500 0.000
O 0.500 0.000 0.000

Calculated values
The symmetry is No. 123. For the spin magnetization, the calculation gives 1.67 μB per formula unit.

---

Result of the stability comparison: two is the most stable of them.

---

## one
Below is crystalline CsIn3C at its relaxed geometry, with properties calculated at the PBE level.

Cell lengths 6.544, 6.544, 6.544 Å; angles 90.00, 90.00, 90.00 degrees
Fractional coordinates of all 5 atoms:
Cs 0.000 0.000 0.000
C 0.500 0.500 0.500
In 0.000 0.500 0.000
In 0.000 0.000 0.500
In 0.500 0.000 0.000

Calculated values
The symmetry is No. 221. For the spin magnetization, the calculation gives 0.00 μB per formula unit.

---

## two
Below is crystalline CsIn3C at its relaxed geometry, with properties calculated at the PBE level.

Cell lengths 5.255, 5.255, 5.255 Å; angles 90.00, 90.00, 90.00 degrees
Fractional coordinates of all 5 atoms:
Cs 0.500 0.500 0.500
C 0.000 0.000 0.000
In 0.000 0.500 0.000
In 0.000 0.000 0.500
In 0.500 0.000 0.000

Calculated values
The symmetry is No. 221. For the spin magnetization, the calculation gives 0.00 μB per formula unit.

---

Result of the stability comparison: two is the most stable of them.

---

## one
Below is crystalline Cs2InPtC at its relaxed geometry, with properties calculated at the PBE level.

Cell lengths 6.813, 3.857, 6.813 Å; angles 90.00, 90.00, 90.00 degrees
Fractional coordinates of all 5 atoms:
Cs 0.000 0.000 0.500
Cs 0.500 0.000 0.000
C 0.000 0.000 0.000
Pt 0.000 0.500 0.000
In 0.500 0.500 0.500

Calculated values
The symmetry is No. 123. For the spin magnetization, the calculation gives 0.00 μB per formula unit.

---

## two
Below is crystalline Cs2InPtC at its relaxed geometry, with properties calculated at the PBE level.

Cell lengths 7.146, 5.041, 7.146 Å; angles 90.00, 90.00, 90.00 degrees
Fractional coordinates of all 5 atoms:
Cs 0.000 0.000 0.500
Cs 0.500 0.000 0.000
C 0.500 0.500 0.500
Pt 0.000 0.500 0.000
In 0.000 0.000 0.000

Calculated values
The symmetry is No. 123. For the spin magnetization, the calculation gives 2.87 μB per formula unit.

---

Result of the stability comparison: one is the most stable of them.

---

## one
Below is crystalline CsIrC3 at its relaxed geometry, with properties calculated at the PBE level.

Cell lengths 4.159, 4.159, 4.159 Å; angles 90.00, 90.00, 90.00 degrees
Fractional coordinates of all 5 atoms:
Cs 0.500 0.500 0.500
C 0.000 0.500 0.000
C 0.000 0.000 0.500
C 0.500 0.000 0.000
Ir 0.000 0.000 0.000

Calculated values
The symmetry is No. 221. For the spin magnetization, the calculation gives 3.17 μB per formula unit.

---

## two
Below is crystalline CsIrC3 at its relaxed geometry, with properties calculated at the PBE level.

Cell lengths 4.357, 4.357, 4.357 Å; angles 90.00, 90.00, 90.00 degrees
Fractional coordinates of all 5 atoms:
Cs 0.000 0.000 0.000
C 0.000 0.500 0.000
C 0.000 0.000 0.500
C 0.500 0.000 0.000
Ir 0.500 0.500 0.500

Calculated values
The symmetry is No. 221. For the spin magnetization, the calculation gives 0.00 μB per formula unit.

---

Result of the stability comparison: one is the most stable of them.

---

## one
Below is crystalline CsKC3 at its relaxed geometry, with properties calculated at the PBE level.

Cell lengths 5.665, 5.665, 5.665 Å; angles 90.00, 90.00, 90.00 degrees
Fractional coordinates of all 5 atoms:
Cs 0.500 0.500 0.500
K 0.000 0.000 0.000
C 0.000 0.500 0.000
C 0.000 0.000 0.500
C 0.500 0.000 0.000

Calculated values
The symmetry is No. 221. For the spin magnetization, the calculation gives 8.00 μB per formula unit.

---

## two
Below is crystalline CsKC3 at its relaxed geometry, with properties calculated at the PBE level.

Cell lengths 5.680, 5.680, 5.680 Å; angles 90.00, 90.00, 90.00 degrees
Fractional coordinates of all 5 atoms:
Cs 0.000 0.000 0.000
K 0.500 0.500 0.500
C 0.000 0.500 0.000
C 0.000 0.000 0.500
C 0.500 0.000 0.000

Calculated values
The symmetry is No. 221. For the spin magnetization, the calculation gives 8.00 μB per formula unit.

---

Result of the stability comparison: one is the most stable of them.

---

## one
Below is crystalline CsLaC3 at its relaxed geometry, with properties calculated at the PBE level.

Cell lengths 4.864, 4.864, 4.864 Å; angles 90.00, 90.00, 90.00 degrees
Fractional coordinates of all 5 atoms:
Cs 0.500 0.500 0.500
C 0.000 0.500 0.000
C 0.000 0.000 0.500
C 0.500 0.000 0.000
La 0.000 0.000 0.000

Calculated values
The symmetry is No. 221. For the spin magnetization, the calculation gives 0.47 μB per formula unit.

---

## two
Below is crystalline CsLaC3 at its relaxed geometry, with properties calculated at the PBE level.

Cell lengths 4.532, 4.532, 4.532 Å; angles 90.00, 90.00, 90.00 degrees
Fractional coordinates of all 5 atoms:
Cs 0.000 0.000 0.000
C 0.000 0.500 0.000
C 0.000 0.000 0.500
C 0.500 0.000 0.000
La 0.500 0.500 0.500

Calculated values
The symmetry is No. 221. For the spin magnetization, the calculation gives 0.00 μB per formula unit.

---

Result of the stability comparison: one is the most stable of them.

---

## one
Below is crystalline CsLi3C at its relaxed geometry, with properties calculated at the PBE level.

Cell lengths 5.137, 5.137, 5.137 Å; angles 90.00, 90.00, 90.00 degrees
Fractional coordinates of all 5 atoms:
Cs 0.000 0.000 0.000
C 0.500 0.500 0.500
Li 0.000 0.500 0.000
Li 0.000 0.000 0.500
Li 0.500 0.000 0.000

Calculated values
The symmetry is No. 221. For the spin magnetization, the calculation gives 0.00 μB per formula unit.

---

## two
Below is crystalline CsLi3C at its relaxed geometry, with properties calculated at the PBE level.

Cell lengths 4.515, 4.515, 4.515 Å; angles 90.00, 90.00, 90.00 degrees
Fractional coordinates of all 5 atoms:
Cs 0.500 0.500 0.500
C 0.000 0.000 0.000
Li 0.000 0.500 0.000
Li 0.000 0.000 0.500
Li 0.500 0.000 0.000

Calculated values
The symmetry is No. 221. For the spin magnetization, the calculation gives 0.00 μB per formula unit.

---

Result of the stability comparison: two is the most stable of them.

---

## one
Below is crystalline CsMg6CO8 at its relaxed geometry, with properties calculated at the PBE level.

Cell lengths 4.331, 4.331, 10.641 Å; angles 90.00, 90.00, 90.00 degrees
Fractional coordinates of all 16 atoms:
Cs 0.000 0.000 0.000
Mg 0.000 0.000 0.500
Mg 0.500 0.500 0.500
Mg 0.000 0.500 0.304
Mg 0.000 0.500 0.696
Mg 0.500 0.000 0.304
Mg 0.500 0.000 0.696
C 0.500 0.500 0.000
O 0.000 0.000 0.298
O 0.000 0.000 0.702
O 0.500 0.500 0.302
O 0.500 0.500 0.698
O 0.000 0.500 0.000
O 0.000 0.500 0.500
O 0.500 0.000 0.000
O 0.500 0.000 0.500

Calculated values
The symmetry is No. 123. For the spin magnetization, the calculation gives 1.42 μB per formula unit.

---

## two
Below is crystalline CsMg6CO8 at its relaxed geometry, with properties calculated at the PBE level.

Cell lengths 4.600, 4.600, 8.751 Å; angles 90.00, 90.00, 90.00 degrees
Fractional coordinates of all 16 atoms:
Cs 0.000 0.000 0.000
Mg 0.500 0.500 0.000
Mg 0.500 0.500 0.500
Mg 0.000 0.500 0.271
Mg 0.000 0.500 0.729
Mg 0.500 0.000 0.271
Mg 0.500 0.000 0.729
C 0.000 0.000 0.500
O 0.000 0.000 0.296
O 0.000 0.000 0.704
O 0.500 0.500 0.252
O 0.500 0.500 0.748
O 0.000 0.500 0.000
O 0.000 0.500 0.500
O 0.500 0.000 0.000
O 0.500 0.000 0.500

Calculated values
The symmetry is No. 123. For the spin magnetization, the calculation gives 0.23 μB per formula unit.

---

Result of the stability comparison: one is the most stable of them.

---

## one
Below is crystalline CsMo3C at its relaxed geometry, with properties calculated at the PBE level.

Cell lengths 4.369, 4.369, 4.369 Å; angles 90.00, 90.00, 90.00 degrees
Fractional coordinates of all 5 atoms:
Cs 0.500 0.500 0.500
Mo 0.000 0.500 0.000
Mo 0.000 0.000 0.500
Mo 0.500 0.000 0.000
C 0.000 0.000 0.000

Calculated values
The symmetry is No. 221. For the spin magnetization, the calculation gives 0.00 μB per formula unit.

---

## two
Below is crystalline CsMo3C at its relaxed geometry, with properties calculated at the PBE level.

Cell lengths 4.891, 4.891, 4.891 Å; angles 90.00, 90.00, 90.00 degrees
Fractional coordinates of all 5 atoms:
Cs 0.000 0.000 0.000
Mo 0.000 0.500 0.000
Mo 0.000 0.000 0.500
Mo 0.500 0.000 0.000
C 0.500 0.500 0.500

Calculated values
The symmetry is No. 221. For the spin magnetization, the calculation gives 0.00 μB per formula unit.

---

Result of the stability comparison: one is the most stable of them.

---

## one
Below is crystalline CsCN2 at its relaxed geometry, with properties calculated at the PBE level.

Cell lengths 3.534, 6.823, 12.984 Å; angles 90.00, 101.38, 90.00 degrees
Fractional coordinates of all 16 atoms:
Cs 0.741 0.792 0.872
Cs 0.259 0.292 0.628
Cs 0.259 0.208 0.128
Cs 0.741 0.708 0.372
C 0.100 0.703 0.137
C 0.900 0.297 0.863
C 0.900 0.203 0.363
C 0.100 0.797 0.637
N 0.762 0.800 0.116
N 0.238 0.300 0.384
N 0.238 0.200 0.884
N 0.762 0.700 0.616
N 0.614 0.246 0.912
N 0.614 0.254 0.412
N 0.386 0.754 0.088
N 0.386 0.746 0.588

Calculated values
The symmetry is No. 14. For the spin magnetization, the calculation gives 0.00 μB per formula unit.

---

## two
Below is crystalline CsCN2 at its relaxed geometry, with properties calculated at the PBE level.

Cell lengths 6.388, 6.388, 6.388 Å; angles 44.03, 44.03, 44.03 degrees
Fractional coordinates of all 4 atoms:
Cs 0.500 0.500 0.500
C 0.000 0.000 0.000
N 0.928 0.928 0.928
N 0.072 0.072 0.072

Calculated values
The symmetry is No. 166. For the spin magnetization, the calculation gives 1.00 μB per formula unit.

---

## three
Below is crystalline CsCN2 at its relaxed geometry, with properties calculated at the PBE level.

Cell lengths 4.361, 5.768, 6.974 Å; angles 90.00, 90.00, 90.00 degrees
Fractional coordinates of all 8 atoms:
Cs 0.000 0.777 0.250
Cs 0.000 0.223 0.750
C 0.500 0.304 0.250
C 0.500 0.696 0.750
N 0.500 0.704 0.572
N 0.500 0.296 0.428
N 0.500 0.296 0.072
N 0.500 0.704 0.928

Calculated values
The symmetry is No. 51. For the spin magnetization, the calculation gives 0.27 μB per formula unit.

---

Result of the stability comparison: two is the most stable of them.

---

## one
Below is crystalline CsNb3C at its relaxed geometry, with properties calculated at the PBE level.

Cell lengths 4.521, 4.521, 4.521 Å; angles 90.00, 90.00, 90.00 degrees
Fractional coordinates of all 5 atoms:
Cs 0.500 0.500 0.500
Nb 0.000 0.500 0.000
Nb 0.000 0.000 0.500
Nb 0.500 0.000 0.000
C 0.000 0.000 0.000

Calculated values
The symmetry is No. 221. For the spin magnetization, the calculation gives 0.00 μB per formula unit.

---

## two
Below is crystalline CsNb3C at its relaxed geometry, with properties calculated at the PBE level.

Cell lengths 5.013, 5.013, 5.013 Å; angles 90.00, 90.00, 90.00 degrees
Fractional coordinates of all 5 atoms:
Cs 0.000 0.000 0.000
Nb 0.000 0.500 0.000
Nb 0.000 0.000 0.500
Nb 0.500 0.000 0.000
C 0.500 0.500 0.500

Calculated values
The symmetry is No. 221. For the spin magnetization, the calculation gives 0.00 μB per formula unit.

---

Result of the stability comparison: one is the most stable of them.

---

## one
Below is crystalline CsNi3C at its relaxed geometry, with properties calculated at the PBE level.

Cell lengths 4.759, 4.759, 4.759 Å; angles 90.00, 90.00, 90.00 degrees
Fractional coordinates of all 5 atoms:
Cs 0.000 0.000 0.000
Ni 0.000 0.500 0.000
Ni 0.000 0.000 0.500
Ni 0.500 0.000 0.000
C 0.500 0.500 0.500

Calculated values
The symmetry is No. 221. For the spin magnetization, the calculation gives 1.66 μB per formula unit.

---

## two
Below is crystalline CsNi3C at its relaxed geometry, with properties calculated at the PBE level.

Cell lengths 4.130, 4.130, 4.130 Å; angles 90.00, 90.00, 90.00 degrees
Fractional coordinates of all 5 atoms:
Cs 0.500 0.500 0.500
Ni 0.000 0.500 0.000
Ni 0.000 0.000 0.500
Ni 0.500 0.000 0.000
C 0.000 0.000 0.000

Calculated values
The symmetry is No. 221. For the spin magnetization, the calculation gives 0.00 μB per formula unit.

---

Result of the stability comparison: two is the most stable of them.